The following is a SCAN calculation of a PBEsol-optimized structure of NiSnF3, from Alexandria via LeMat-Bulk.

Raw formation energy: -971 meV per atom
Uncorrected energy: -67.57 eV for the cell shown
DOS at the Fermi energy: 2.2357 states/eV/atom

Structure (CIF):
```
data_NiSnF3
_chemical_formula_sum 'Ni1 Sn1 F3'
_symmetry_space_group_name_H-M 'P m -3 m'
_symmetry_Int_Tables_number 221
_symmetry_space_group_name_Hall '-P 4 2 3'
_cell_length_a 4.4102
_cell_length_b 4.4102
_cell_length_c 4.4102
_cell_angle_alpha 90.00
_cell_angle_beta 90.00
_cell_angle_gamma 90.00
loop_
_atom_site_label
_atom_site_type_symbol
_atom_site_fract_x
_atom_site_fract_y
_atom_site_fract_z
Ni1 Ni 0.0000 0.0000 0.0000
Sn1 Sn 0.5000 0.5000 0.5000
F1 F 0.0000 0.5000 0.5000
```